(1)
# VSb4O12

A PBEsol-optimized structure of VSb4O12 (SCAN, Alexandria via LeMat-Bulk).

Output
E_tot   -267.96 eV/cell
Crystal system   triclinic
M_tot   0.0588 μB per atom
SG   P1

a = 5.0087 Å, b = 5.4431 Å, c = 7.5774 Å
α = 95.22°, β = 90.22°, γ = 91.05°
Atoms (fractional coordinates):
V: 0.9916 0.5976 0.7226
Sb: 0.0051 0.9948 0.0314
Sb: 0.4899 0.4607 0.4861
Sb: 0.9898 0.9903 0.4980
Sb: 0.5080 0.4672 0.0231
O: 0.2775 0.7540 0.5885
O: 0.1552 0.9827 0.2700
O: 0.3228 0.1584 0.9394
O: 0.1755 0.3015 0.5998
O: 0.8315 0.3057 0.0853
O: 0.3427 0.4865 0.2565
O: 0.6648 0.4645 0.7506
O: 0.1799 0.6518 0.9325
O: 0.8298 0.6449 0.4752
O: 0.6853 0.7912 0.0740
O: 0.8986 0.9295 0.7610
O: 0.6521 0.1375 0.4468



(2)
# Sb3W20O60

A PBEsol-optimized structure of Sb3W20O60 (SCAN, Alexandria via LeMat-Bulk).

Output
E_tot   -2055.99 eV/cell
Crystal system   orthorhombic
M_tot   0.0118 μB per atom
SG   Fmm2

a = 10.6327 Å, b = 10.6327 Å, c = 12.6452 Å
α = 114.30°, β = 114.30°, γ = 91.21°
Atoms (fractional coordinates):
Sb: 0.5895 0.5895 0.0000
Sb: 0.4363 0.8916 0.0000
Sb: 0.8916 0.4363 0.0000
W: 0.4075 0.4075 0.3208
W: 0.0868 0.0868 0.6792
W: 0.1337 0.6343 0.0000
W: 0.3664 0.3664 0.0000
W: 0.6629 0.6629 0.3250
W: 0.8433 0.8433 0.6881
W: 0.4117 0.9120 0.3185
W: 0.3379 0.3379 0.6750
W: 0.0932 0.5934 0.6815
W: 0.1551 0.1551 0.3119
W: 0.6614 0.1611 0.3210
W: 0.1611 0.6614 0.3210
W: 0.8402 0.3405 0.6790
W: 0.3405 0.8402 0.6790
W: 0.5929 0.5929 0.6866
W: 0.9063 0.9063 0.3134
W: 0.8754 0.8754 0.0000
W: 0.6343 0.1337 0.0000
W: 0.9120 0.4117 0.3185
W: 0.5934 0.0932 0.6815
O: 0.0031 0.7509 0.0000
O: 0.2173 0.9663 0.6847
O: 0.0314 0.7810 0.3164
O: 0.5326 0.2816 0.3153
O: 0.7151 0.4647 0.6836
O: 0.2190 0.2190 0.8638
O: 0.3552 0.3552 0.1362
O: 0.5515 0.5515 0.3489
O: 0.4993 0.2484 0.0000
O: 0.2484 0.4993 0.0000
O: 0.2026 0.2026 0.6511
O: 0.0513 0.0513 0.3532
O: 0.6981 0.6981 0.6468
O: 0.2833 0.7806 0.1353
O: 0.1480 0.6453 0.8647
O: 0.0311 0.0311 0.1345
O: 0.4161 0.4161 0.8779
O: 0.8966 0.8966 0.8655
O: 0.5382 0.5382 0.1221
O: 0.5355 0.7854 0.3166
O: 0.0340 0.2848 0.3154
O: 0.2848 0.0340 0.3154
O: 0.7854 0.5355 0.3166
O: 0.4688 0.2189 0.6834
O: 0.2189 0.4688 0.6834
O: 0.9694 0.7185 0.6846
O: 0.7185 0.9694 0.6846
O: 0.5242 0.0242 0.5000
O: 0.7770 0.7770 0.5009
O: 0.2762 0.2762 0.4991
O: 0.0242 0.5242 0.5000
O: 0.7551 0.7551 0.2604
O: 0.4947 0.4947 0.7396
O: 0.2625 0.2625 0.2741
O: 0.0070 0.5083 0.2648
O: 0.5083 0.0070 0.2648
O: 0.2435 0.7422 0.7352
O: 0.7422 0.2435 0.7352
O: 0.9884 0.9884 0.7259
O: 0.7221 0.2221 0.5000
O: 0.4768 0.4768 0.5009
O: 0.2221 0.7221 0.5000
O: 0.9759 0.9759 0.4991
O: 0.7810 0.0314 0.3164
O: 0.9663 0.2173 0.6847
O: 0.2816 0.5326 0.3153
O: 0.4647 0.7151 0.6836
O: 0.9575 0.4652 0.8782
O: 0.0793 0.5870 0.1218
O: 0.5870 0.0793 0.1218
O: 0.4652 0.9575 0.8782
O: 0.8516 0.8516 0.1332
O: 0.7184 0.7184 0.8668
O: 0.9485 0.4490 0.6497
O: 0.7993 0.2988 0.3503
O: 0.4490 0.9485 0.6497
O: 0.2988 0.7993 0.3503
O: 0.7509 0.0031 0.0000
O: 0.7806 0.2833 0.1353
O: 0.6453 0.1480 0.8647



(3)
# Y2Sb2O7

A PBEsol-optimized structure of Y2Sb2O7 (SCAN, Alexandria via LeMat-Bulk).

Output
E_tot   -1214.50 eV/cell
Crystal system   trigonal
M_tot   0.0000 μB per atom
SG   P3_121

a = 7.4510 Å, b = 7.4510 Å, c = 18.3400 Å
α = 90.00°, β = 90.00°, γ = 120.00°
Atoms (fractional coordinates):
Y: 0.0000 0.8240 0.3333
Y: 0.0000 0.8361 0.8333
Y: 0.8179 0.5010 0.9884
Y: 0.8240 0.0000 0.0000
Y: 0.4990 0.3169 0.3218
Y: 0.8361 0.0000 0.5000
Y: 0.6831 0.1821 0.6551
Y: 0.5010 0.8179 0.3449
Y: 0.3169 0.4990 0.0116
Y: 0.1821 0.6831 0.6782
Y: 0.1639 0.1639 0.1667
Y: 0.1760 0.1760 0.6667
Sb: 0.0000 0.3273 0.8333
Sb: 0.0000 0.3016 0.3333
Sb: 0.8347 0.5018 0.4992
Sb: 0.4982 0.3329 0.8325
Sb: 0.6671 0.1653 0.1658
Sb: 0.6984 0.6984 0.6667
Sb: 0.3273 0.0000 0.5000
Sb: 0.6727 0.6727 0.1667
Sb: 0.3016 0.0000 0.0000
Sb: 0.5018 0.8347 0.8342
Sb: 0.3329 0.4982 0.5008
Sb: 0.1653 0.6671 0.1675
O: 0.9837 0.8358 0.7155
O: 0.0049 0.8068 0.1953
O: 0.8928 0.5509 0.6065
O: 0.9499 0.3823 0.1931
O: 0.6713 0.6652 0.0438
O: 0.7706 0.4632 0.3935
O: 0.9939 0.3287 0.7105
O: 0.7983 0.4801 0.8608
O: 0.6177 0.5676 0.5265
O: 0.5368 0.3074 0.7269
O: 0.5199 0.3182 0.1941
O: 0.6581 0.1072 0.2731
O: 0.8521 0.0163 0.3821
O: 0.6818 0.2017 0.5275
O: 0.8019 0.9951 0.8620
O: 0.8358 0.9837 0.6179
O: 0.6926 0.2294 0.0602
O: 0.8068 0.0049 0.1380
O: 0.4491 0.3419 0.9398
O: 0.4324 0.0501 0.8598
O: 0.1932 0.1981 0.5286
O: 0.3348 0.0061 0.3771
O: 0.5509 0.8928 0.7269
O: 0.3823 0.9499 0.1402
O: 0.6652 0.6713 0.2895
O: 0.1642 0.1479 0.0488
O: 0.4632 0.7706 0.9398
O: 0.3287 0.9939 0.6229
O: 0.4801 0.7983 0.4725
O: 0.5676 0.6177 0.8069
O: 0.3074 0.5368 0.6065
O: 0.3182 0.5199 0.1392
O: 0.1072 0.6581 0.0602
O: 0.0163 0.8521 0.9512
O: 0.2017 0.6818 0.8059
O: 0.9951 0.8019 0.4714
O: 0.2294 0.6926 0.2731
O: 0.3419 0.4491 0.3935
O: 0.0501 0.4324 0.4735
O: 0.1981 0.1932 0.8047
O: 0.0061 0.3348 0.9562
O: 0.1479 0.1642 0.2845